[1]
Entry from Alexandria: a geometry-optimized Tb2PuSnN5 structure (PBE).

Output
formation energy (no corrections): -0.87 eV per atom
crystal system: orthorhombic
space-group type: Cmc2_1

Lattice parameters (Å, degrees): 7.216 7.216 10.450 90.00 90.00 152.43
Fractional positions:
Tb: 0.109 0.891 0.500
Tb: 0.132 0.868 0.096
Tb: 0.868 0.132 0.596
Tb: 0.891 0.109 0.000
Pu: 0.217 0.783 0.816
Pu: 0.783 0.217 0.316
Sn: 0.478 0.522 0.275
Sn: 0.522 0.478 0.775
N: 0.058 0.942 0.875
N: 0.280 0.720 0.454
N: 0.305 0.695 0.181
N: 0.371 0.629 0.816
N: 0.494 0.506 0.581
N: 0.506 0.494 0.081
N: 0.629 0.371 0.316
N: 0.695 0.305 0.681
N: 0.720 0.280 0.954
N: 0.942 0.058 0.375

[2]
Entry from Alexandria: a geometry-optimized Y2AsOs structure (PBE).

Output
calculated formation energy: -0.65 eV/f.u.
energy above the most stable polymorph in this dataset: 0.5195 eV/atom
crystal system: tetragonal
space-group type: P4mm

Lattice parameters (Å, degrees): 3.260 3.260 8.314 90.00 90.00 90.00
Fractional positions:
Y: 0.000 0.000 0.000
Y: 0.500 0.500 0.363
As: 0.000 0.000 0.611
Os: 0.500 0.500 0.758

no.,M_tot (μB per cell)
1,6.0
2,0.0